1.
# Gd2HSe, optimized geometry, DFT GGA-PBE
# - Density: 7.90 Mg/m³
# - SG: R-3m, No. 166
# - Final energy: -0.3590 hartree per atom
# - Crystal system: trigonal
# - V: 20.74 A^3/atom
data_Gd2HSe
_space_group_name_H-M_alt 'P 1'
_space_group_IT_number 1
_cell_length_a 6.946
_cell_length_b 6.946
_cell_length_c 6.946
_cell_angle_alpha 31.87
_cell_angle_beta 31.87
_cell_angle_gamma 31.87
loop_
_space_group_symop_operation_xyz
'x,y,z'
loop_
_atom_site_label
_atom_site_type_symbol
_atom_site_fract_x
_atom_site_fract_y
_atom_site_fract_z
Gd1 Gd 0.239 0.239 0.239
Gd2 Gd 0.761 0.761 0.761
H1 H 0.500 0.500 0.500
Se1 Se 0.000 0.000 0.000

---

2.
# Ce2NdTl3, optimized geometry, DFT GGA-PBE
# - Formation energy from the elements: -0.286 eV per atom
# - Density: 9.94 Mg/m³
# - SG: P4/mmm, No. 123
# - Crystal system: tetragonal
# - V: 28.88 A^3/atom
data_Ce2NdTl3
_space_group_name_H-M_alt 'P 1'
_space_group_IT_number 1
_cell_length_a 3.539
_cell_length_b 3.539
_cell_length_c 13.837
_cell_angle_alpha 90.00
_cell_angle_beta 90.00
_cell_angle_gamma 90.00
loop_
_space_group_symop_operation_xyz
'x,y,z'
loop_
_atom_site_label
_atom_site_type_symbol
_atom_site_fract_x
_atom_site_fract_y
_atom_site_fract_z
Ce1 Ce 0.000 0.000 0.167
Ce2 Ce 0.000 0.000 0.833
Nd1 Nd 0.000 0.000 0.500
Tl1 Tl 0.500 0.500 0.000
Tl2 Tl 0.500 0.500 0.333
Tl3 Tl 0.500 0.500 0.667

---

3.
# Sm4ZnCo3, optimized geometry, DFT GGA-PBE
# - Formation energy from the elements: -0.136 eV per atom
# - Density: 7.86 Mg/m³
# - SG: Pmm2, No. 25
# - Crystal system: orthorhombic
# - V: 22.28 A^3/atom
data_Sm4ZnCo3
_space_group_name_H-M_alt 'P 1'
_space_group_IT_number 1
_cell_length_a 4.045
_cell_length_b 4.121
_cell_length_c 10.691
_cell_angle_alpha 90.00
_cell_angle_beta 90.00
_cell_angle_gamma 90.00
loop_
_space_group_symop_operation_xyz
'x,y,z'
loop_
_atom_site_label
_atom_site_type_symbol
_atom_site_fract_x
_atom_site_fract_y
_atom_site_fract_z
Sm1 Sm 0.000 0.000 0.000
Sm2 Sm 0.000 0.500 0.278
Sm3 Sm 0.500 0.000 0.485
Sm4 Sm 0.500 0.500 0.773
Zn1 Zn 0.000 0.000 0.697
Co1 Co 0.000 0.500 0.566
Co2 Co 0.500 0.000 0.188
Co3 Co 0.500 0.500 0.089

---

4.
# Tb2Nd6Tm3In, optimized geometry, DFT GGA-PBE
# - Formation energy from the elements: -0.037 eV per atom
# - Density: 7.79 Mg/m³
# - SG: C2/m, No. 12
# - Crystal system: monoclinic
# - V: 32.05 A^3/atom
data_Tb2Nd6Tm3In
_space_group_name_H-M_alt 'P 1'
_space_group_IT_number 1
_cell_length_a 6.190
_cell_length_b 6.190
_cell_length_c 11.788
_cell_angle_alpha 95.05
_cell_angle_beta 95.05
_cell_angle_gamma 120.10
loop_
_space_group_symop_operation_xyz
'x,y,z'
loop_
_atom_site_label
_atom_site_type_symbol
_atom_site_fract_x
_atom_site_fract_y
_atom_site_fract_z
Tb1 Tb 0.166 0.834 0.000
Tb2 Tb 0.834 0.166 0.000
Nd1 Nd 0.090 0.417 0.750
Nd2 Nd 0.256 0.256 0.251
Nd3 Nd 0.417 0.090 0.750
Nd4 Nd 0.583 0.910 0.250
Nd5 Nd 0.744 0.744 0.749
Nd6 Nd 0.910 0.583 0.250
Tm1 Tm 0.000 0.000 0.500
Tm2 Tm 0.333 0.667 0.500
Tm3 Tm 0.667 0.333 0.500
In1 In 0.500 0.500 0.000

---

5.
# Na3YCl, optimized geometry, DFT GGA-PBE
# - Density: 1.02 Mg/m³
# - SG: Pm-3m, No. 221
# - Crystal system: cubic
# - E_form (uncorrected): 55 kJ/mol of atoms
# - V: 63.17 A^3/atom
data_Na3YCl
_space_group_name_H-M_alt 'P 1'
_space_group_IT_number 1
_cell_length_a 6.810
_cell_length_b 6.810
_cell_length_c 6.810
_cell_angle_alpha 90.00
_cell_angle_beta 90.00
_cell_angle_gamma 90.00
loop_
_space_group_symop_operation_xyz
'x,y,z'
loop_
_atom_site_label
_atom_site_type_symbol
_atom_site_fract_x
_atom_site_fract_y
_atom_site_fract_z
Na1 Na 0.000 0.000 0.500
Na2 Na 0.000 0.500 0.000
Na3 Na 0.500 0.000 0.000
Y1 Y 0.000 0.000 0.000
Cl1 Cl 0.500 0.500 0.500

---

6.
# Cs2BaIrCl6, optimized geometry, DFT GGA-PBE
# - Density: 3.98 Mg/m³
# - SG: I4/mmm, No. 139
# - Crystal system: tetragonal
# - E_form (uncorrected): -144 kJ/mol of atoms
# - V: 33.71 A^3/atom
data_Cs2BaIrCl6
_space_group_name_H-M_alt 'P 1'
_space_group_IT_number 1
_cell_length_a 7.937
_cell_length_b 7.937
_cell_length_c 7.937
_cell_angle_alpha 122.83
_cell_angle_beta 122.83
_cell_angle_gamma 85.17
loop_
_space_group_symop_operation_xyz
'x,y,z'
loop_
_atom_site_label
_atom_site_type_symbol
_atom_site_fract_x
_atom_site_fract_y
_atom_site_fract_z
Cs1 Cs 0.250 0.750 0.500
Cs2 Cs 0.750 0.250 0.500
Ba1 Ba 0.000 0.000 0.000
Ir1 Ir 0.500 0.500 0.000
Cl1 Cl 0.257 0.257 0.000
Cl2 Cl 0.280 0.280 0.559
Cl3 Cl 0.280 0.720 0.000
Cl4 Cl 0.720 0.280 0.000
Cl5 Cl 0.720 0.720 0.441
Cl6 Cl 0.743 0.743 0.000